DFT (GGA-PBE) results for crystalline CaBSe2 at its relaxed geometry.

Geometry as POSCAR:
```
CaBSe2
1.0
2.281 1.317 6.582
-2.281 1.317 6.582
0.000 -2.634 6.582
Ca B Se
1 1 2
direct
0.000 0.000 0.000
0.500 0.500 0.500
0.405 0.405 0.405
0.595 0.595 0.595
```

## Properties
ΔE_f (raw) in eV/atom: -0.393
Space group: R-3m (166)


DFT (GGA-PBE) results for crystalline CaBSe at its relaxed geometry.

Geometry as POSCAR:
```
CaBSe
1.0
2.092 -7.938 0.000
2.092 7.938 0.000
0.000 0.000 3.504
Ca B Se
2 2 2
direct
0.106 0.894 0.750
0.894 0.106 0.250
0.480 0.520 0.750
0.520 0.480 0.250
0.344 0.656 0.750
0.656 0.344 0.250
```

## Properties
ΔE_f (raw) in eV/atom: -0.781
Offset from the most stable computed form in meV per atom: 0
Space group: Cmcm (63)


DFT (GGA-PBE) results for crystalline CaBSe at its relaxed geometry.

Geometry as POSCAR:
```
CaBSe
1.0
4.278 -3.890 0.000
4.278 3.890 0.000
-0.578 0.000 4.006
Ca B Se
2 2 2
direct
0.233 0.767 0.000
0.767 0.233 0.000
0.044 0.044 0.534
0.869 0.869 0.497
0.253 0.253 0.805
0.640 0.640 0.494
```

## Properties
ΔE_f (raw) in eV/atom: -0.680
Offset from the most stable computed form in meV per atom: 101
Space group: Cm (8)


DFT (GGA-PBE) results for crystalline CaBSe2 at its relaxed geometry.

Geometry as POSCAR:
```
CaBSe2
1.0
1.744 1.007 8.213
-1.744 1.007 8.213
0.000 -2.014 8.213
Ca B Se
1 1 2
direct
0.000 0.000 0.000
0.500 0.500 0.500
0.116 0.116 0.116
0.884 0.884 0.884
```

## Properties
ΔE_f (raw) in eV/atom: 0.261
Space group: R-3m (166)


DFT (GGA-PBE) results for crystalline CaBSe at its relaxed geometry.

Geometry as POSCAR:
```
CaBSe
1.0
3.437 0.000 0.000
-0.002 4.847 0.000
-1.685 -0.490 6.956
Ca B Se
2 2 2
direct
0.101 0.257 0.199
0.899 0.743 0.801
0.269 0.022 0.538
0.731 0.978 0.462
0.405 0.255 0.815
0.595 0.745 0.185
```

## Properties
ΔE_f (raw) in eV/atom: -0.702
Offset from the most stable computed form in meV per atom: 79
Space group: P-1 (2)


DFT (GGA-PBE) results for crystalline CaBSe at its relaxed geometry.

Geometry as POSCAR:
```
CaBSe
1.0
-2.075 2.266 6.286
2.075 -2.266 6.286
2.075 2.266 -6.286
Ca B Se
2 2 2
direct
0.139 0.139 0.000
0.861 0.861 0.000
0.173 0.500 0.673
0.827 0.500 0.327
0.374 0.374 0.000
0.626 0.626 0.000
```

## Properties
ΔE_f (raw) in eV/atom: -0.460
Offset from the most stable computed form in meV per atom: 321
Space group: Immm (71)